No. 1
A plane-wave DFT calculation with PBE was carried out for Sr2ZrIn after structural relaxation.

Computed properties:
* DFT formation energy: 0.133 eV/atom
* total magnetic moment: 0.6 μB/f.u.
* space-group type: Amm2
* V: 138 Å³/cell

```
Sr2ZrIn
1.0
5.269 0.000 0.000
0.000 3.767 0.017
0.000 1.851 6.968
In Zr Sr
1 1 2
Cartesian
2.634 3.508 5.109
0.000 3.515 3.621
2.634 1.639 2.122
0.000 5.383 6.613
```

=====

No. 2
A plane-wave DFT calculation with PBE was carried out for NdAg2Sn3 after structural relaxation.

Computed properties:
* DFT formation energy: -0.263 eV/atom
* total magnetic moment: 0.0 μB/f.u.
* space-group type: Cmmm
* V: 144 Å³/cell

```
NdAg2Sn3
1.0
4.420 0.000 0.000
0.000 4.385 -1.482
0.000 0.064 7.414
Ag Sn Nd
2 3 1
Cartesian
0.000 2.995 1.632
0.000 1.454 4.299
2.210 0.787 2.327
2.210 3.662 3.604
2.210 2.192 -0.741
0.000 0.000 0.000
```

=====

No. 3
A plane-wave DFT calculation with PBE was carried out for V2FePt3 after structural relaxation.

Computed properties:
* DFT formation energy: -0.427 eV/atom
* total magnetic moment: 1.0 μB/f.u.
* space-group type: Cmmm
* V: 86 Å³/cell

```
V2FePt3
1.0
-3.307 -1.960 -0.023
1.804 -3.061 1.496
-2.076 3.448 4.590
Pt V Fe
3 2 1
Cartesian
-1.534 -1.231 4.300
-0.751 -2.511 0.737
-2.043 -0.343 1.763
0.525 -0.914 2.464
-0.796 1.301 3.623
0.000 0.000 0.000
```

=====

No. 4
A plane-wave DFT calculation with PBE was carried out for TlGeSb after structural relaxation.

Computed properties:
* total magnetic moment: 0.0 μB/f.u.
* ΔE_f (raw): 0.24 eV per atom
* space-group type: Immm
* V: 194 Å³/cell

```
TlGeSb
1.0
-4.408 3.329 -0.087
-1.960 -2.518 2.931
6.413 4.026 4.547
Tl Sb Ge
2 2 2
Cartesian
1.296 1.865 5.672
-1.251 2.972 1.718
-0.093 -0.042 3.104
0.139 4.879 4.286
-2.205 -0.334 1.441
-4.162 1.144 1.402
```

=====

No. 5
A plane-wave DFT calculation with PBE was carried out for SrRe2Sb after structural relaxation.

Computed properties:
* total magnetic moment: 0.0 μB/f.u.
* ΔE_f (raw): 0.80 eV per atom
* space-group type: I-42d
* V: 200 Å³/cell

```
SrRe2Sb
1.0
4.531 0.000 0.000
0.000 4.531 0.000
2.265 2.265 9.756
Re Sb Sr
4 2 2
Cartesian
3.992 1.133 2.439
5.070 3.398 2.439
3.398 2.804 7.317
5.664 1.726 7.317
0.000 0.000 0.000
4.531 2.265 4.878
2.265 4.531 4.878
2.265 2.265 0.000
```

=====

No. 6
A plane-wave DFT calculation with PBE was carried out for K5Tl4Cd after structural relaxation.

Computed properties:
* DFT formation energy: -0.059 eV/atom
* total magnetic moment: 0.0 μB/f.u.
* space-group type: C2/m
* V: 460 Å³/cell

```
K5Tl4Cd
1.0
-2.695 2.859 3.162
-2.855 -7.523 4.369
10.890 3.706 1.910
Cd Tl K
1 4 5
Cartesian
-1.348 1.430 1.581
-1.878 -5.983 3.809
7.019 3.589 2.739
-1.680 -4.546 6.702
7.218 5.025 5.632
3.277 -0.346 7.129
2.063 -0.612 2.312
1.334 -4.008 4.762
-2.775 -2.332 3.765
4.006 3.051 4.679
```

=====

No. 7
A plane-wave DFT calculation with PBE was carried out for LaPrGe4 after structural relaxation.

Computed properties:
* DFT formation energy: -0.418 eV/atom
* total magnetic moment: 0.0 μB/f.u.
* space-group type: F-43m
* V: 136 Å³/cell

```
LaPrGe4
1.0
-5.468 0.075 1.832
-1.624 -3.395 4.370
-1.293 2.313 5.122
Ge La Pr
4 1 1
Cartesian
-5.226 -0.627 7.058
-2.530 -0.664 6.155
-4.425 1.047 4.904
-4.588 -1.768 4.533
0.000 0.000 0.000
-2.096 -0.252 2.831
```

=====

No. 8
A plane-wave DFT calculation with PBE was carried out for InTe2I after structural relaxation.

Computed properties:
* total magnetic moment: 0.0 μB/f.u.
* ΔE_f (raw): -0.14 eV per atom
* space-group type: R-3m
* V: 159 Å³/cell

```
InTe2I
1.0
2.602 0.000 9.050
-1.301 2.253 9.050
-1.301 -2.253 9.050
Te In I
2 1 1
Cartesian
0.000 0.000 24.179
0.000 0.000 2.970
0.000 0.000 13.575
0.000 0.000 0.000
```

=====

No. 9
A plane-wave DFT calculation with PBE was carried out for ThCu2Sb2 after structural relaxation.

Computed properties:
* total magnetic moment: 0.0 μB/f.u.
* ΔE_f (raw): -0.43 eV per atom
* space-group type: Cmcm
* V: 217 Å³/cell

```
ThCu2Sb2
1.0
-1.983 1.115 -3.809
3.364 -1.777 -2.272
-4.236 -10.290 1.777
Sb Cu Th
4 4 2
Cartesian
-0.195 -2.373 -0.593
-2.763 -4.749 -2.536
-2.661 -8.579 -3.711
-0.093 -6.203 -1.768
2.218 -1.902 -1.712
-0.423 -0.395 -2.479
-2.432 -10.557 -1.825
-5.073 -9.050 -2.592
0.085 -3.468 -3.644
-2.941 -7.484 -0.660
```

=====

No. 10
A plane-wave DFT calculation with PBE was carried out for GaSiH2 after structural relaxation.

Computed properties:
* calculated total energy: -3.612 eV per atom
* total magnetic moment: 0.0 μB/f.u.
* space-group type: P1
* V: 65 Å³/cell

```
GaSiH2
1.0
-0.569 2.905 -0.117
-4.023 0.761 0.817
0.416 1.788 5.565
Si H Ga
1 2 1
Cartesian
-3.053 2.477 5.367
-1.435 2.667 2.337
-3.795 3.703 1.157
-1.200 2.776 3.872
```

=====

No. 11
A plane-wave DFT calculation with PBE was carried out for MnCo2Au after structural relaxation.

Computed properties:
* DFT formation energy: 0.258 eV/atom
* total magnetic moment: 4.9 μB/f.u.
* space-group type: R-3m
* V: 53 Å³/cell

```
MnCo2Au
1.0
8.422 0.007 0.004
7.980 2.692 0.004
7.980 1.313 2.350
Co Mn Au
2 1 1
Cartesian
24.142 3.972 2.335
12.430 2.045 1.202
6.095 1.003 0.589
18.286 3.008 1.768
```

=====

No. 12
A plane-wave DFT calculation with PBE was carried out for BeNi2Br after structural relaxation.

Computed properties:
* total magnetic moment: 0.0 μB/f.u.
* ΔE_f (raw): 0.17 eV per atom
* space-group type: P2/m
* V: 53 Å³/cell

```
BeNi2Br
1.0
2.826 0.000 0.000
0.000 2.671 1.057
0.000 2.520 8.014
Ni Br Be
2 1 1
Cartesian
0.000 0.444 0.657
0.000 2.152 3.879
1.413 3.893 6.803
1.413 1.298 2.268
```